*P*
The following is a DFT calculation (GGA-PBE) of a relaxed structure of MnOs2W.

Summary:
The value obtained for the calculated volume is 254.9 Å³ per cell.

abc: 3.825 3.825 17.420
angles: 90.00 90.00 90.00
Space group I-42d (No. 122)
Unique sites:
Mn 0.000 0.000 0.000 [4 per cell]
Os 0.210 0.250 0.125 [8 per cell]
W 0.000 0.000 0.500 [4 per cell]

*Q*
The following is a DFT calculation (GGA-PBE) of a relaxed structure of MnOs2W.

Summary:
The value obtained for the calculated volume is 56.4 Å³ per cell.

abc: 2.718 2.718 7.626
angles: 90.00 90.00 90.00
Space group P4mm (No. 99)
Unique sites:
Mn 0.000 0.000 0.000 [1 per cell]
Os 0.000 0.000 0.481 [1 per cell]
Os 0.500 0.500 0.228 [1 per cell]
W 0.500 0.500 0.750 [1 per cell]

*R*
The following is a DFT calculation (GGA-PBE) of a relaxed structure of MnOs2W.

Summary:
The value obtained for the calculated volume is 114.8 Å³ per cell.

abc: 5.482 7.532 2.779
angles: 90.00 90.00 90.00
Space group Cmmm (No. 65)
Unique sites:
Mn 0.000 0.000 0.000 [2 per cell]
Os 0.250 0.250 0.500 [4 per cell]
W 0.000 0.500 0.000 [2 per cell]

Which of them is most stable, and which least? Most stable: *R*; least stable: *P*.

*P*
The following is a DFT calculation (GGA-PBE) of a relaxed structure of MnOs2W.

Summary:
The value obtained for the calculated volume is 171.3 Å³ per cell.

abc: 2.7316 2.7316 26.5067
angles: 90.00 90.00 120.00
Space group R3m (No. 160, hexagonal axes)
Unique sites:
Mn 0.0000 0.0000 0.0000 [3 per cell]
Os 0.0000 0.0000 0.2570 [3 per cell]
Os 0.0000 0.0000 0.5029 [3 per cell]
W 0.0000 0.0000 0.7508 [3 per cell]

*Q*
The following is a DFT calculation (GGA-PBE) of a relaxed structure of MnOs2W.

Summary:
The value obtained for the calculated volume is 113.6 Å³ per cell.

abc: 3.870 3.870 7.583
angles: 90.00 90.00 90.00
Space group I4/mmm (No. 139)
Unique sites:
Mn 0.000 0.000 0.000 [2 per cell]
Os 0.000 0.500 0.250 [4 per cell]
W 0.000 0.000 0.500 [2 per cell]

*R*
The following is a DFT calculation (GGA-PBE) of a relaxed structure of MnOs2W.

Summary:
The value obtained for the calculated volume is 56.8 Å³ per cell.

abc: 3.857 3.857 3.815
angles: 90.00 90.00 90.00
Space group P4/mmm (No. 123)
Unique sites:
Mn 0.000 0.000 0.000 [1 per cell]
Os 0.000 0.500 0.500 [2 per cell]
W 0.500 0.500 0.000 [1 per cell]

Which of them is most stable, and which least? Most stable: *R*; least stable: *P*.

*P*
The following is a DFT calculation (GGA-PBE) of a relaxed structure of MnOs2W.

Summary:
The value obtained for the calculated volume is 117.5 Å³ per cell.

abc: 3.014 4.508 8.650
angles: 90.00 90.00 90.00
Space group Cmmm (No. 65)
Unique sites:
Mn 0.000 0.000 0.000 [2 per cell]
Os 0.000 0.500 0.242 [4 per cell]
W 0.000 0.000 0.500 [2 per cell]

*Q*
The following is a DFT calculation (GGA-PBE) of a relaxed structure of MnOs2W.

Summary:
The value obtained for the calculated volume is 232.2 Å³ per cell.

abc: 6.146 6.146 6.146
angles: 90.00 90.00 90.00
Space group F-43m (No. 216)
Unique sites:
Mn 0.000 0.000 0.000 [4 per cell]
Os 0.000 0.000 0.500 [4 per cell]
Os 0.250 0.250 0.250 [4 per cell]
W 0.250 0.250 0.750 [4 per cell]

Which of them is most stable, and which least? Most stable: *P*; least stable: *Q*.